A plane-wave DFT calculation with PBE was carried out for K2Na6HgPb after structural relaxation.

a = 12.089 Å, b = 12.089 Å, c = 12.089 Å
α = 90.00°, β = 90.00°, γ = 90.00°
Space group Fm-3m (No. 225)
Asymmetric unit:
K  0.250  0.250  0.250 (multiplicity 8)
Na  0.000  0.000  0.246 (multiplicity 24)
Hg  0.000  0.000  0.000 (multiplicity 4)
Pb  0.000  0.000  0.500 (multiplicity 4)

Computed properties:
ρ, g/cm3: 2.346
Total DFT energy (no corrections), eV per atom: -1.440
Density of states at the Fermi level, states/eV per cell: 33.71

---

A plane-wave DFT calculation with PBE was carried out for SiBAuC after structural relaxation.

a = 3.0719 Å, b = 3.0719 Å, c = 6.1532 Å
α = 90.00°, β = 90.00°, γ = 120.00°
Space group P3m1 (No. 156)
Asymmetric unit:
Si  0.0000  0.0000  0.0000 (multiplicity 1)
B  0.3333  0.6667  0.3562 (multiplicity 1)
Au  0.0000  0.0000  0.5825 (multiplicity 1)
C  0.3333  0.6667  0.1109 (multiplicity 1)

Computed properties:
ρ, g/cm3: 8.185
Total DFT energy (no corrections), eV per atom: -5.898
Density of states at the Fermi level, states/eV per cell: 0.76
Formation energy without anion corrections, eV/f.u.: 1.01